Below is a geometry-optimized Pr3Ho5In2 structure, with properties calculated at the PBE-GGA level.

Cell: 6.4507 10.6490 10.6490 Å, 94.54 72.37 72.37°
Last column: nearest neighbours and their distance in Å.
Positions (direct):
Pr: 0.1176 0.1221 0.6428  4 Ho 3.46-3.57, 4 In 3.55-3.62
Pr: 0.7500 0.0000 0.0000  2 Pr 3.23, 2 Ho 3.29, 4 In 3.34
Pr: 0.8824 0.8779 0.3572  4 Ho 3.46-3.57, 4 In 3.55-3.62
Pr: 0.2500 0.0000 0.0000  2 Pr 3.23, 2 Ho 3.29, 4 In 3.34
Pr: 0.3824 0.3572 0.8779  4 Ho 3.46-3.57, 4 In 3.55-3.62
Pr: 0.6176 0.6428 0.1221  4 Ho 3.46-3.57, 4 In 3.55-3.62
In: 0.1392 0.7137 0.0080  3 Ho 2.98-3.18, 2 Pr 3.34
In: 0.6392 0.0080 0.7137  3 Ho 2.98-3.18, 2 Pr 3.34
In: 0.8608 0.2863 0.9920  3 Ho 2.98-3.18, 2 Pr 3.34
In: 0.3608 0.9920 0.2863  3 Ho 2.98-3.18, 2 Pr 3.34
Ho: 0.0041 0.7459 0.7459  2 In 3.18, 5 Ho 3.18-3.41, 1 Pr 3.29
Ho: 0.4959 0.2541 0.2541  2 In 3.18, 5 Ho 3.18-3.41, 1 Pr 3.29
Ho: 0.6224 0.2148 0.5403  1 In 2.98
Ho: 0.3776 0.7852 0.4597  1 In 2.98
Ho: 0.9959 0.2541 0.2541  2 In 3.18, 5 Ho 3.18-3.41, 1 Pr 3.29
Ho: 0.5041 0.7459 0.7459  2 In 3.18, 5 Ho 3.18-3.41, 1 Pr 3.29
Ho: 0.8776 0.4597 0.7852  1 In 2.98
Ho: 0.1224 0.5403 0.2148  1 In 2.98
Ho: 0.7500 0.5000 0.5000  8 Ho 3.18-3.40
Ho: 0.2500 0.5000 0.5000  8 Ho 3.18-3.40



Below is a geometry-optimized Pr3Ho2In2 structure, with properties calculated at the PBE-GGA level.

Cell: 3.5393 8.0677 8.7831 Å, 117.73 101.62 90.00°
Last column: nearest neighbours and their distance in Å.
Positions (direct):
In: 0.4327 0.0984 0.8655  4 Ho 3.26-3.42, 3 In 3.37-3.54, 5 Pr 3.38-3.51
In: 0.5673 0.9016 0.1345  4 Ho 3.26-3.42, 3 In 3.37-3.54, 5 Pr 3.38-3.51
Pr: 0.2106 0.7843 0.4211  5 Pr 3.24-3.55, 3 In 3.44-3.51, 3 Ho 3.57-3.59
Pr: 0.0000 0.5000 0.0000  4 Pr 3.24-3.54, 4 In 3.38, 2 Ho 3.38
Pr: 0.7894 0.2157 0.5789  5 Pr 3.24-3.55, 3 In 3.44-3.51, 3 Ho 3.57-3.59
Ho: 0.8738 0.7174 0.7476  4 In 3.26-3.42, 4 Pr 3.38-3.59, 2 Ho 3.54
Ho: 0.1262 0.2826 0.2524  4 In 3.26-3.42, 4 Pr 3.38-3.59, 2 Ho 3.54

Summary:
- Distance to the lowest polymorph of the same formula: 40 meV/atom



Below is a geometry-optimized Pr4Ho3In structure, with properties calculated at the PBE-GGA level.

Cell: 7.0623 7.1523 10.1594 Å, 90.00 90.00 90.00°
Last column: nearest neighbours and their distance in Å.
Positions (direct):
Ho: 0.7406 0.5606 0.2501  8 Pr 3.48-3.61, 2 In 3.54, 2 Ho 3.61
Ho: 0.7406 0.5606 0.7499  8 Pr 3.48-3.61, 2 In 3.54, 2 Ho 3.61
Ho: 0.2594 0.0606 0.2499  8 Pr 3.48-3.61, 2 In 3.54, 2 Ho 3.61
Ho: 0.2594 0.0606 0.7501  8 Pr 3.48-3.61, 2 In 3.54, 2 Ho 3.61
Ho: 0.0002 0.8104 0.5000  8 Pr 3.53-3.58, 4 Ho 3.61
Ho: 0.9998 0.3104 0.0000  8 Pr 3.53-3.58, 4 Ho 3.61
Pr: 0.0010 0.3108 0.5000  2 In 3.53, 4 Pr 3.57, 6 Ho 3.57-3.61
Pr: 0.7519 0.0606 0.7496  6 Ho 3.48-3.58, 4 Pr 3.57-3.58, 2 In 3.58
Pr: 0.2481 0.5606 0.2496  6 Ho 3.48-3.58, 4 Pr 3.57-3.58, 2 In 3.58
Pr: 0.7519 0.0606 0.2504  6 Ho 3.48-3.58, 4 Pr 3.57-3.58, 2 In 3.58
Pr: 0.9990 0.8108 0.0000  2 In 3.53, 4 Pr 3.57, 6 Ho 3.57-3.61
Pr: 0.4998 0.8104 0.5000  6 Ho 3.53-3.54, 2 In 3.57-3.58, 4 Pr 3.58
Pr: 0.5002 0.3104 0.0000  6 Ho 3.53-3.54, 2 In 3.57-3.58, 4 Pr 3.58
Pr: 0.2481 0.5606 0.7504  6 Ho 3.48-3.58, 4 Pr 3.57-3.58, 2 In 3.58
In: 0.4996 0.8107 0.0000  8 Pr 3.53-3.58, 4 Ho 3.54
In: 0.5004 0.3107 0.5000  8 Pr 3.53-3.58, 4 Ho 3.54

Summary:
- Distance to the lowest polymorph of the same formula: 20 meV/atom



Below is a geometry-optimized Pr5HoIn5 structure, with properties calculated at the PBE-GGA level.

Cell: 5.8621 9.5358 7.0917 Å, 111.68 90.00 107.90°
Last column: nearest neighbours and their distance in Å.
Positions (direct):
Pr: 0.3106 0.6212 0.8093  7 In 3.17-3.36
Pr: 0.6894 0.3788 0.1907  7 In 3.17-3.36
Pr: 0.0000 0.0000 0.5000  4 In 3.36-3.37, 2 Ho 3.55, 4 Pr 3.74
Pr: 0.6385 0.2770 0.6404  6 In 3.56-3.68, 4 Pr 3.65-3.74
Pr: 0.3615 0.7230 0.3596  6 In 3.56-3.68, 4 Pr 3.65-3.74
In: 0.1623 0.3247 0.9424  1 In 3.12, 1 Ho 3.13, 4 Pr 3.18-3.37
In: 0.1623 0.3246 0.3823  1 In 3.12, 1 Ho 3.13, 4 Pr 3.18-3.36
In: 0.8377 0.6753 0.0576  1 In 3.12, 1 Ho 3.13, 4 Pr 3.18-3.37
In: 0.5000 0.0000 0.0000  2 Ho 2.93, 2 Pr 3.17
In: 0.8377 0.6754 0.6177  1 In 3.12, 1 Ho 3.13, 4 Pr 3.18-3.36
Ho: 0.0000 0.0000 0.0000  6 In 2.93-3.13



Below is a geometry-optimized Pr3Ho12In structure, with properties calculated at the PBE-GGA level.

Cell: 4.9782 4.9782 20.1690 Å, 90.00 90.00 90.00°
Last column: nearest neighbours and their distance in Å.
Positions (direct):
Ho: 0.5000 0.5000 0.7575  4 Pr 3.52, 8 Ho 3.52-3.62
Ho: 0.5000 0.0000 0.3729  8 Ho 3.52-3.62, 4 Pr 3.54-3.57
Ho: 0.5000 0.5000 0.5000  4 Pr 3.52, 8 Ho 3.57
Ho: 0.0000 0.5000 0.3729  8 Ho 3.52-3.62, 4 Pr 3.54-3.57
Ho: 0.0000 0.5000 0.6271  8 Ho 3.52-3.62, 4 Pr 3.54-3.57
Ho: 0.5000 0.0000 0.8811  8 Ho 3.46-3.52, 2 In 3.46, 2 Pr 3.60
Ho: 0.5000 0.0000 0.1189  8 Ho 3.46-3.52, 2 In 3.46, 2 Pr 3.60
Ho: 0.5000 0.5000 0.2425  4 Pr 3.52, 8 Ho 3.52-3.62
Ho: 0.0000 0.5000 0.1189  2 In 3.46, 8 Ho 3.46-3.52, 2 Pr 3.60
Ho: 0.5000 0.5000 0.0000  8 Ho 3.46, 4 In 3.52
Ho: 0.0000 0.5000 0.8811  2 In 3.46, 8 Ho 3.46-3.52, 2 Pr 3.60
Ho: 0.5000 0.0000 0.6271  8 Ho 3.52-3.62, 4 Pr 3.54-3.57
Pr: 0.0000 0.0000 0.5000  12 Ho 3.52-3.57
Pr: 0.0000 0.0000 0.7522  12 Ho 3.52-3.60
Pr: 0.0000 0.0000 0.2478  12 Ho 3.52-3.60
In: 0.0000 0.0000 0.0000  12 Ho 3.46-3.52



Below is a geometry-optimized Pr8Ho2In structure, with properties calculated at the PBE-GGA level.

Cell: 5.0913 8.1810 9.5985 Å, 105.17 105.38 90.00°
Last column: nearest neighbours and their distance in Å.
Positions (direct):
Ho: 0.2250 0.6325 0.4500  10 Pr 3.60-3.69, 2 Ho 3.62
Ho: 0.7750 0.3675 0.5500  10 Pr 3.60-3.69, 2 Ho 3.62
Pr: 0.9553 0.2701 0.9107  9 Pr 3.57-3.71, 2 In 3.61, 1 Ho 3.64
Pr: 0.8629 0.8201 0.7258  7 Pr 3.59-3.68, 2 In 3.61, 3 Ho 3.62-3.64
Pr: 0.3217 0.0913 0.6434  8 Pr 3.57-3.71, 1 In 3.58, 3 Ho 3.66-3.69
Pr: 0.6783 0.9087 0.3566  8 Pr 3.57-3.71, 1 In 3.58, 3 Ho 3.66-3.69
Pr: 0.1371 0.1799 0.2742  7 Pr 3.59-3.68, 2 In 3.61, 3 Ho 3.62-3.64
Pr: 0.5909 0.4435 0.1819  1 In 3.56, 8 Pr 3.59-3.73, 3 Ho 3.60-3.63
Pr: 0.0447 0.7299 0.0893  9 Pr 3.57-3.71, 2 In 3.61, 1 Ho 3.64
Pr: 0.4091 0.5565 0.8181  1 In 3.56, 8 Pr 3.59-3.73, 3 Ho 3.60-3.63
In: 0.5000 0.0000 0.0000  12 Pr 3.56-3.61



Below is a geometry-optimized PrHoIn structure, with properties calculated at the PBE-GGA level.

Cell: 5.1676 6.7540 6.7540 Å, 86.41 90.00 90.00°
Last column: nearest neighbours and their distance in Å.
Positions (direct):
Ho: 0.5000 0.8201 0.1799  3 In 2.96-3.07
Ho: 0.5000 0.1799 0.8201  3 In 2.96-3.07
Pr: 0.0000 0.3157 0.3157  3 In 3.11-3.16
Pr: 0.0000 0.6843 0.6843  3 In 3.11-3.16
In: 0.5000 0.5000 0.5000  2 Ho 2.96, 4 Pr 3.16
In: 0.0000 0.0000 0.0000  4 Ho 3.07, 2 Pr 3.11

Summary:
- Distance to the lowest polymorph of the same formula: 530 meV/atom



Below is a geometry-optimized Pr12Ho3In structure, with properties calculated at the PBE-GGA level.

Cell: 5.1259 5.1259 20.7583 Å, 90.00 90.00 90.00°
Last column: nearest neighbours and their distance in Å.
Positions (direct):
Pr: 0.5000 0.5000 0.0000  8 Pr 3.59, 4 In 3.62
Pr: 0.5000 0.0000 0.3739  8 Pr 3.62-3.66, 4 Ho 3.65-3.66
Pr: 0.0000 0.5000 0.8788  2 In 3.59, 8 Pr 3.59-3.67, 2 Ho 3.68
Pr: 0.0000 0.5000 0.3739  8 Pr 3.62-3.66, 4 Ho 3.65-3.66
Pr: 0.5000 0.0000 0.6261  8 Pr 3.62-3.66, 4 Ho 3.65-3.66
Pr: 0.5000 0.0000 0.8788  2 In 3.59, 8 Pr 3.59-3.67, 2 Ho 3.68
Pr: 0.5000 0.5000 0.5000  4 Ho 3.62, 8 Pr 3.66
Pr: 0.5000 0.5000 0.2479  4 Ho 3.62, 8 Pr 3.66-3.67
Pr: 0.5000 0.5000 0.7521  4 Ho 3.62, 8 Pr 3.66-3.67
Pr: 0.5000 0.0000 0.1212  2 In 3.59, 8 Pr 3.59-3.67, 2 Ho 3.68
Pr: 0.0000 0.5000 0.6261  8 Pr 3.62-3.66, 4 Ho 3.65-3.66
Pr: 0.0000 0.5000 0.1212  2 In 3.59, 8 Pr 3.59-3.67, 2 Ho 3.68
Ho: 0.0000 0.0000 0.7514  12 Pr 3.62-3.68
Ho: 0.0000 0.0000 0.5000  12 Pr 3.62-3.66
Ho: 0.0000 0.0000 0.2486  12 Pr 3.62-3.68
In: 0.0000 0.0000 0.0000  12 Pr 3.59-3.62



| no. | DOS(E_F) (states/eV per atom) | calculated formation energy (meV/atom) |
| --- | --- | --- |
| 1 | 1.37 | 38.0 |
| 2 | 1.20 | -123.1 |
| 3 | 1.39 | -79.9 |
| 4 | 1.08 | -247.4 |
| 5 | 1.28 | -36.5 |
| 6 | 1.36 | -67.7 |
| 7 | 1.51 | 192.3 |
| 8 | 1.33 | -51.3 |